No. 1
Material: NbGaSiC2
Method: DFT, PBEsol
State: relaxed

Structure (extended XYZ):
```
5
Lattice="3.789 0.000 0.000 0.000 3.789 0.000 0.000 0.000 5.009" Properties=species:S:1:pos:R:3 pbc="T T T"
Nb 0.000 0.000 0.000
Ga 1.895 1.895 2.505
Si 1.895 1.895 0.000
C 0.000 1.895 2.505
C 1.895 0.000 2.505
```

Values from the calculation:
SG: P4/mmm
Fermi-level density of states: 3.45 states/eV per cell
ΔE_f (raw): 1.966 eV per atom



No. 2
Material: ScCrIn2
Method: DFT, PBEsol
State: relaxed

Structure (extended XYZ):
```
4
Lattice="0.000 3.371 3.371 3.371 0.000 3.371 3.371 3.371 0.000" Properties=species:S:1:pos:R:3 pbc="T T T"
Sc 0.000 0.000 0.000
Cr 3.371 3.371 3.371
In 1.686 1.686 1.686
In 5.057 5.057 5.057
```

Values from the calculation:
SG: Fm-3m
Fermi-level density of states: 2.08 states/eV per cell
energy relative to the elements: -14 kJ/mol of formula units
energy relative to the lowest polymorph listed for this composition: 0.0 meV per atom



No. 3
Material: CuMo2Rh
Method: DFT, PBEsol
State: relaxed

Structure (extended XYZ):
```
4
Lattice="-1.917 1.917 3.796 1.917 -1.917 3.796 1.917 1.917 -3.796" Properties=species:S:1:pos:R:3 pbc="T T T"
Cu 0.000 0.000 0.000
Mo 0.000 0.000 3.796
Mo 0.000 1.917 1.898
Rh 1.917 0.000 1.898
```

Values from the calculation:
SG: I-4m2
Fermi-level density of states: 5.93 states/eV per cell
energy relative to the elements: 64 kJ/mol of formula units



No. 4
Material: LaTcSe2
Method: DFT, PBEsol
State: relaxed

Structure (extended XYZ):
```
4
Lattice="2.109 -2.675 0.000 2.109 2.675 0.000 0.000 0.000 6.959" Properties=species:S:1:pos:R:3 pbc="T T T"
La 0.000 0.000 0.000
Tc 0.000 0.000 3.479
Se 2.109 0.000 1.998
Se 2.109 0.000 4.960
```

Values from the calculation:
SG: Cmmm
Fermi-level density of states: 3.83 states/eV per cell
ΔE_f (raw): -0.497 eV per atom
energy relative to the lowest polymorph listed for this composition: 72.3 meV per atom



No. 5
Material: LaCuSe2
Method: DFT, PBEsol
State: relaxed

Structure (extended XYZ):
```
4
Lattice="3.562 0.000 0.000 0.000 3.562 0.000 0.000 0.000 6.713" Properties=species:S:1:pos:R:3 pbc="T T T"
La 0.000 0.000 0.000
Cu 0.000 0.000 3.356
Se 1.781 1.781 1.782
Se 1.781 1.781 4.931
```

Values from the calculation:
SG: P4/mmm
Fermi-level density of states: 2.10 states/eV per cell
ΔE_f (raw): -0.731 eV per atom



No. 6
Material: CsYTeN2
Method: DFT, PBEsol
State: relaxed

Structure (extended XYZ):
```
5
Lattice="4.354 0.000 0.000 0.000 4.354 0.000 0.000 0.000 6.487" Properties=species:S:1:pos:R:3 pbc="T T T"
Cs 0.000 0.000 0.000
Y 2.177 2.177 3.244
Te 0.000 0.000 3.244
N 0.000 2.177 0.000
N 2.177 0.000 0.000
```

Values from the calculation:
SG: P4/mmm
Fermi-level density of states: 2.84 states/eV per cell
ΔE_f (raw): 1.419 eV per atom



No. 7
Material: CsTlTc2
Method: DFT, PBEsol
State: relaxed

Structure (extended XYZ):
```
4
Lattice="0.000 3.377 3.377 3.377 0.000 3.377 3.377 3.377 0.000" Properties=species:S:1:pos:R:3 pbc="T T T"
Cs 0.000 0.000 0.000
Tl 3.377 3.377 3.377
Tc 1.689 1.689 1.689
Tc 5.066 5.066 5.066
```

Values from the calculation:
SG: Fm-3m
Fermi-level density of states: 6.14 states/eV per cell
energy relative to the elements: 684 kJ/mol of formula units



No. 8
Material: NbPt3I
Method: DFT, PBEsol
State: relaxed

Structure (extended XYZ):
```
5
Lattice="4.842 0.000 0.000 0.000 4.842 0.000 0.000 0.000 4.842" Properties=species:S:1:pos:R:3 pbc="T T T"
Nb 0.000 0.000 0.000
Pt 0.000 2.421 2.421
Pt 2.421 0.000 2.421
Pt 2.421 2.421 0.000
I 2.421 2.421 2.421
```

Values from the calculation:
SG: Pm-3m
Fermi-level density of states: 3.97 states/eV per cell
ΔE_f (raw): 1.490 eV per atom



No. 9
Material: AlZnTc2
Method: DFT, PBEsol
State: relaxed

Structure (extended XYZ):
```
4
Lattice="2.735 0.000 0.000 0.000 3.977 0.000 0.000 0.000 5.135" Properties=species:S:1:pos:R:3 pbc="T T T"
Al 0.000 0.000 0.000
Zn 0.000 0.000 2.567
Tc 1.367 1.988 1.331
Tc 1.367 1.988 3.803
```

Values from the calculation:
SG: Pmmm
Fermi-level density of states: 3.95 states/eV per cell
energy relative to the elements: 31 kJ/mol of formula units
energy relative to the lowest polymorph listed for this composition: 290.7 meV per atom



No. 10
Material: NiP3
Method: DFT, PBEsol
State: relaxed

Structure (extended XYZ):
```
16
Lattice="-3.868 3.868 3.868 3.868 -3.868 3.868 3.868 3.868 -3.868" Properties=species:S:1:pos:R:3 pbc="T T T"
Ni 1.934 1.934 -1.934
Ni 1.934 -1.934 1.934
Ni -1.934 1.934 1.934
Ni 1.934 1.934 1.934
P 2.749 0.000 1.118
P 4.988 0.000 1.118
P 3.868 2.751 -1.120
P 1.118 2.749 0.000
P 2.751 -1.120 3.868
P 0.000 1.118 2.749
P 3.868 2.751 1.120
P 1.118 4.988 0.000
P 2.751 1.120 3.868
P 0.000 1.118 4.988
P -1.120 3.868 2.751
P 1.120 3.868 2.751
```

Values from the calculation:
SG: Im-3
Fermi-level density of states: 6.60 states/eV per cell
energy relative to the elements: -145 kJ/mol of formula units
energy relative to the lowest polymorph listed for this composition: 0.0 meV per atom



No. 11
Material: Li3GeF
Method: DFT, PBEsol
State: relaxed

Structure (extended XYZ):
```
5
Lattice="3.982 0.000 0.000 0.000 3.982 0.000 0.000 0.000 3.982" Properties=species:S:1:pos:R:3 pbc="T T T"
Li 0.000 0.000 1.991
Li 0.000 1.991 0.000
Li 1.991 0.000 0.000
Ge 1.991 1.991 1.991
F 0.000 0.000 0.000
```

Values from the calculation:
SG: Pm-3m
Fermi-level density of states: 1.40 states/eV per cell
ΔE_f (raw): -1.224 eV per atom



No. 12
Material: AlSi2Te
Method: DFT, PBEsol
State: relaxed

Structure (extended XYZ):
```
4
Lattice="-2.279 2.279 3.577 2.279 -2.279 3.577 2.279 2.279 -3.577" Properties=species:S:1:pos:R:3 pbc="T T T"
Al 0.000 0.000 0.000
Si 0.000 0.000 3.577
Si 0.000 2.279 1.788
Te 2.279 0.000 1.788
```

Values from the calculation:
SG: I-4m2
Fermi-level density of states: 1.96 states/eV per cell
ΔE_f (raw): 0.457 eV per atom
energy relative to the lowest polymorph listed for this composition: 251.7 meV per atom



No. 13
Material: Y2TlP
Method: DFT, PBEsol
State: relaxed

Structure (extended XYZ):
```
4
Lattice="1.930 1.114 7.815 -1.930 1.114 7.815 0.000 -2.229 7.815" Properties=species:S:1:pos:R:3 pbc="T T T"
Y 0.000 0.000 5.493
Y 0.000 0.000 17.953
Tl 0.000 0.000 0.000
P 0.000 0.000 11.723
```

Values from the calculation:
SG: R-3m
Fermi-level density of states: 1.93 states/eV per cell
energy relative to the elements: -403 kJ/mol of formula units
energy relative to the lowest polymorph listed for this composition: 0.0 meV per atom



No. 14
Material: LiSnP2I
Method: DFT, PBEsol
State: relaxed

Structure (extended XYZ):
```
5
Lattice="4.934 0.000 0.000 0.000 4.934 0.000 0.000 0.000 6.068" Properties=species:S:1:pos:R:3 pbc="T T T"
Li 0.000 0.000 0.000
Sn 0.000 0.000 3.034
P 0.000 2.467 3.034
P 2.467 0.000 3.034
I 2.467 2.467 0.000
```

Values from the calculation:
SG: P4/mmm
Fermi-level density of states: 4.90 states/eV per cell
ΔE_f (raw): 0.615 eV per atom



No. 15
Material: MnCoNi2
Method: DFT, PBEsol
State: relaxed

Structure (extended XYZ):
```
4
Lattice="-1.731 1.731 3.490 1.731 -1.731 3.490 1.731 1.731 -3.490" Properties=species:S:1:pos:R:3 pbc="T T T"
Mn 0.000 0.000 0.000
Co 0.000 1.731 1.745
Ni 1.731 0.000 1.745
Ni 0.000 0.000 3.490
```

Values from the calculation:
SG: I-4m2
Fermi-level density of states: 4.76 states/eV per cell
energy relative to the elements: 8 kJ/mol of formula units



No. 16
Material: Dy2Mn3Si5
Method: DFT, PBEsol
State: relaxed

Structure (extended XYZ):
```
40
Lattice="10.451 0.000 0.000 0.000 10.451 0.000 0.000 0.000 5.355" Properties=species:S:1:pos:R:3 pbc="T T T"
Dy 0.791 2.468 0.000
Dy 2.468 9.660 0.000
Dy 2.757 4.434 2.677
Dy 4.434 7.694 2.677
Dy 6.016 2.757 2.677
Dy 7.694 6.016 2.677
Dy 7.983 0.791 0.000
Dy 9.660 7.983 0.000
Mn 0.000 5.225 1.339
Mn 0.000 5.225 4.016
Mn 1.268 8.924 2.677
Mn 1.527 1.268 2.677
Mn 3.698 6.494 0.000
Mn 3.957 3.698 0.000
Mn 5.225 0.000 1.339
Mn 5.225 0.000 4.016
Mn 6.494 6.753 0.000
Mn 6.753 3.957 0.000
Mn 8.924 9.182 2.677
Mn 9.182 1.527 2.677
Si 0.000 0.000 1.390
Si 0.000 0.000 3.965
Si 0.260 3.291 2.677
Si 1.822 7.047 1.339
Si 1.822 7.047 4.016
Si 1.934 4.965 0.000
Si 3.291 10.191 2.677
Si 3.404 1.822 1.339
Si 3.404 1.822 4.016
Si 4.965 8.517 0.000
Si 5.225 5.225 1.287
Si 5.225 5.225 4.067
Si 5.486 1.934 0.000
Si 7.047 8.629 1.339
Si 7.047 8.629 4.016
Si 7.160 0.260 2.677
Si 8.517 5.486 0.000
Si 8.629 3.404 1.339
Si 8.629 3.404 4.016
Si 10.191 7.160 2.677
```

Values from the calculation:
SG: P4/mnc
Fermi-level density of states: 19.20 states/eV per cell
ΔE_f (raw): -0.698 eV per atom



No. 17
Material: TaTl
Method: DFT, PBEsol
State: relaxed

Structure (extended XYZ):
```
4
Lattice="-1.725 2.398 4.888 1.725 -2.398 4.888 1.725 2.398 -4.888" Properties=species:S:1:pos:R:3 pbc="T T T"
Ta 0.000 1.199 1.414
Ta 1.725 1.199 3.474
Tl 1.725 1.199 -1.142
Tl 0.000 1.199 6.030
```

Values from the calculation:
SG: Imma
Fermi-level density of states: 1.58 states/eV per cell
energy relative to the elements: 102 kJ/mol of formula units
energy relative to the lowest polymorph listed for this composition: 0.0 meV per atom



No. 18
Material: YSc2
Method: DFT, PBEsol
State: relaxed

Structure (extended XYZ):
```
6
Lattice="2.323 -7.023 0.000 2.323 7.023 0.000 0.000 0.000 4.721" Properties=species:S:1:pos:R:3 pbc="T T T"
Y 2.323 5.826 3.541
Y 2.323 -5.826 1.180
Sc 2.323 3.529 1.180
Sc 2.323 1.224 3.541
Sc 2.323 -1.224 1.180
Sc 2.323 -3.529 3.541
```

Values from the calculation:
SG: Cmcm
Fermi-level density of states: 10.49 states/eV per cell
energy relative to the elements: 17 kJ/mol of formula units
energy relative to the lowest polymorph listed for this composition: 37.0 meV per atom



No. 19
Material: Ce4B2N5
Method: DFT, PBEsol
State: relaxed

Structure (extended XYZ):
```
11
Lattice="6.004 -1.742 0.000 6.004 1.742 0.000 -5.601 0.000 6.817" Properties=species:S:1:pos:R:3 pbc="T T T"
Ce -1.056 0.000 2.368
Ce -1.218 0.000 6.036
Ce 7.624 0.000 0.780
Ce 7.463 0.000 4.449
B 2.749 0.000 2.659
B 3.658 0.000 4.158
N 0.000 0.000 0.000
N 1.267 0.000 2.694
N 3.446 0.000 1.342
N 2.961 0.000 5.475
N 5.140 0.000 4.123
```

Values from the calculation:
SG: C2/m
Fermi-level density of states: 10.75 states/eV per cell
ΔE_f (raw): -1.521 eV per atom



No. 20
Material: AlCd2Se
Method: DFT, PBEsol
State: relaxed

Structure (extended XYZ):
```
4
Lattice="1.779 1.027 7.775 -1.779 1.027 7.775 0.000 -2.055 7.775" Properties=species:S:1:pos:R:3 pbc="T T T"
Al 0.000 0.000 0.000
Cd 0.000 0.000 11.888
Cd 0.000 0.000 17.557
Se 0.000 0.000 6.334
```

Values from the calculation:
SG: R3m
Fermi-level density of states: 1.17 states/eV per cell
ΔE_f (raw): -0.199 eV per atom
energy relative to the lowest polymorph listed for this composition: 0.0 meV per atom



No. 21
Material: Cd2InSb
Method: DFT, PBEsol
State: relaxed

Structure (extended XYZ):
```
4
Lattice="4.254 0.000 0.000 0.000 4.713 0.000 0.000 0.000 4.794" Properties=species:S:1:pos:R:3 pbc="T T T"
Cd 0.000 0.000 0.000
Cd 2.127 2.356 0.000
In 0.000 2.356 2.397
Sb 2.127 0.000 2.397
```

Values from the calculation:
SG: Pmmm
Fermi-level density of states: 2.01 states/eV per cell
ΔE_f (raw): 0.086 eV per atom
energy relative to the lowest polymorph listed for this composition: 10.5 meV per atom



No. 22
Material: SrSiTe
Method: DFT, PBEsol
State: relaxed

Structure (extended XYZ):
```
3
Lattice="0.000 3.647 3.647 3.647 0.000 3.647 3.647 3.647 0.000" Properties=species:S:1:pos:R:3 pbc="T T T"
Sr 0.000 0.000 0.000
Si 3.647 3.647 3.647
Te 5.471 5.471 5.471
```

Values from the calculation:
SG: F-43m
Fermi-level density of states: 2.53 states/eV per cell
ΔE_f (raw): -0.090 eV per atom
energy relative to the lowest polymorph listed for this composition: 321.0 meV per atom



No. 23
Material: MnSbPb2Cl
Method: DFT, PBEsol
State: relaxed

Structure (extended XYZ):
```
5
Lattice="5.976 0.000 0.000 0.000 5.976 0.000 0.000 0.000 4.869" Properties=species:S:1:pos:R:3 pbc="T T T"
Mn 0.000 0.000 0.000
Sb 0.000 0.000 2.435
Pb 0.000 2.988 2.435
Pb 2.988 0.000 2.435
Cl 2.988 2.988 0.000
```

Values from the calculation:
SG: P4/mmm
Fermi-level density of states: 4.09 states/eV per cell
ΔE_f (raw): 0.581 eV per atom



No. 24
Material: Cr2ReH2
Method: DFT, PBEsol
State: relaxed

Structure (extended XYZ):
```
5
Lattice="-1.364 1.364 5.708 1.364 -1.364 5.708 1.364 1.364 -5.708" Properties=species:S:1:pos:R:3 pbc="T T T"
Cr 0.000 0.000 1.760
Cr 0.000 0.000 9.655
Re 0.000 0.000 5.708
H 1.364 0.000 2.854
H 0.000 1.364 2.854
```

Values from the calculation:
SG: I4/mmm
final energy: -40.18 eV/cell
Fermi-level density of states: 3.35 states/eV per cell



No. 25
Material: TcPBr2
Method: DFT, PBEsol
State: relaxed

Structure (extended XYZ):
```
4
Lattice="3.217 0.000 0.000 0.000 3.217 0.000 0.000 0.000 7.445" Properties=species:S:1:pos:R:3 pbc="T T T"
Tc 0.000 0.000 0.000
P 1.609 1.609 6.558
Br 0.000 0.000 4.786
Br 1.609 1.609 1.938
```

Values from the calculation:
SG: P4mm
Fermi-level density of states: 3.71 states/eV per cell
ΔE_f (raw): 0.230 eV per atom
energy relative to the lowest polymorph listed for this composition: 275.9 meV per atom



No. 26
Material: LiAgBr2
Method: DFT, PBEsol
State: relaxed

Structure (extended XYZ):
```
4
Lattice="3.837 0.000 0.000 0.000 1.905 6.734 0.000 -1.905 6.734" Properties=species:S:1:pos:R:3 pbc="T T T"
Li 0.000 0.000 0.000
Ag 1.919 0.000 4.545
Br 0.000 0.000 10.777
Br 1.919 0.000 7.246
```

Values from the calculation:
SG: Amm2
ΔE_f (raw): -0.847 eV per atom
energy relative to the lowest polymorph listed for this composition: 48.2 meV per atom



No. 27
Material: Sc2CoNi
Method: DFT, PBEsol
State: relaxed

Structure (extended XYZ):
```
4
Lattice="1.561 0.901 7.433 -1.561 0.901 7.433 0.000 -1.802 7.433" Properties=species:S:1:pos:R:3 pbc="T T T"
Sc 0.000 0.000 5.528
Sc 0.000 0.000 16.772
Co 0.000 0.000 11.150
Ni 0.000 0.000 0.000
```

Values from the calculation:
SG: R-3m
Fermi-level density of states: 4.53 states/eV per cell
energy relative to the elements: -6 kJ/mol of formula units